Record 1
# UInPb2Se5

UInPb2Se5 after structural relaxation (PBE, the Alexandria database).

Calculated values
* uncorrected formation energy: -6.0 eV/f.u.
* electronic total energy: -179.6 eV/cell

a = 4.165 Å, b = 17.945 Å, c = 16.056 Å
α = 90.00°, β = 90.00°, γ = 90.00°
Space group Cmc2_1 (No. 36)
Unique sites:
U  0.000  0.222  0.000 x4
In  0.000  0.091  0.386 x4
Pb  0.000  0.350  0.208 x4
Pb  0.000  0.461  0.600 x4
Se  0.000  0.042  0.723 x4
Se  0.000  0.074  0.974 x4
Se  0.000  0.263  0.385 x4
Se  0.000  0.293  0.618 x4
Se  0.000  0.374  0.015 x4

Record 2
# VInPb2Se

VInPb2Se after structural relaxation (PBE, the Alexandria database).

Calculated values
* uncorrected formation energy: 2.0 eV/f.u.
* electronic total energy: -20.7 eV/cell

a = 5.346 Å, b = 5.346 Å, c = 5.305 Å
α = 90.00°, β = 90.00°, γ = 90.00°
Space group P4/mmm (No. 123)
Unique sites:
V  0.000  0.000  0.000 x1
In  0.000  0.000  0.500 x1
Pb  0.000  0.500  0.000 x2
Se  0.500  0.500  0.500 x1

Record 3
# YIn2PbSe4

YIn2PbSe4 after structural relaxation (PBE, the Alexandria database).

Calculated values
* uncorrected formation energy: -6.9 eV/f.u.
* electronic total energy: -36.5 eV/cell

a = 7.565 Å, b = 4.182 Å, c = 7.578 Å
α = 90.00°, β = 108.42°, γ = 90.00°
Space group P2/m (No. 10)
Unique sites:
Y  0.000  0.000  0.000 x1
In  0.500  0.000  0.500 x1
In  0.500  0.500  0.000 x1
Pb  0.000  0.500  0.500 x1
Se  0.228  0.500  0.221 x2
Se  0.246  0.000  0.772 x2

Record 4
# ZrInPb2Se5

ZrInPb2Se5 after structural relaxation (PBE, the Alexandria database).

Calculated values
* uncorrected formation energy: -6.4 eV/f.u.
* electronic total energy: -170.1 eV/cell

a = 3.999 Å, b = 18.020 Å, c = 14.054 Å
α = 90.00°, β = 90.00°, γ = 90.00°
Space group Cmc2_1 (No. 36)
Unique sites:
Zr  0.000  0.222  0.000 x4
In  0.000  0.441  0.387 x4
Pb  0.000  0.101  0.603 x4
Pb  0.000  0.133  0.265 x4
Se  0.000  0.063  0.011 x4
Se  0.000  0.267  0.633 x4
Se  0.000  0.293  0.365 x4
Se  0.000  0.366  0.950 x4
Se  0.000  0.493  0.723 x4

Record 5
# In2SiPb2

In2SiPb2 after structural relaxation (PBE, the Alexandria database).

Calculated values
* uncorrected formation energy: 1.7 eV/f.u.
* electronic total energy: -33.2 eV/cell
* energy above the lowest structure with this stoichiometry: 0.082 eV per atom

a = 7.602 Å, b = 7.602 Å, c = 5.131 Å
α = 90.00°, β = 90.00°, γ = 90.00°
Space group P4/mbm (No. 127)
Unique sites:
In  0.163  0.337  0.000 x4
Si  0.000  0.000  0.500 x2
Pb  0.151  0.651  0.500 x4

Record 6
# InSiPb

InSiPb after structural relaxation (PBE, the Alexandria database).

Calculated values
* uncorrected formation energy: 1.0 eV/f.u.
* electronic total energy: -21.8 eV/cell
* energy above the lowest structure with this stoichiometry: 0.038 eV per atom

a = 3.542 Å, b = 3.542 Å, c = 12.003 Å
α = 90.00°, β = 90.00°, γ = 90.00°
Space group I4mm (No. 107)
Unique sites:
In  0.000  0.000  0.000 x2
Si  0.000  0.000  0.636 x2
Pb  0.000  0.000  0.286 x2